An optimized crystal structure of Pr5CdIn4. Source: the Alexandria database, functional PBE.

Output
E (eV for the cell shown): -40.3
Formation enthalpy at 0 K (meV per atom): -456
Space-group type: P4/mmm, No. 123

Cell lengths 3.883, 3.883, 19.723 Å; angles 90.00, 90.00, 90.00 degrees
Atoms (fractional coordinates):
Pr1 0.000 0.000 0.000
Pr2 0.000 0.000 0.200
Pr3 0.000 0.000 0.401
Pr4 0.000 0.000 0.599
Pr5 0.000 0.000 0.800
Cd1 0.500 0.500 0.500
In1 0.500 0.500 0.100
In2 0.500 0.500 0.302
In3 0.500 0.500 0.698
In4 0.500 0.500 0.900

=====

An optimized crystal structure of PrCd4In2. Source: the Alexandria database, functional PBE.

Output
E (eV for the cell shown): -15.1
Formation enthalpy at 0 K (meV per atom): -171
Space-group type: Cmmm, No. 65

Cell lengths 8.738, 8.738, 4.533 Å; angles 90.00, 90.00, 149.51 degrees
Atoms (fractional coordinates):
Pr1 0.000 0.000 0.000
Cd1 0.185 0.815 0.500
Cd2 0.310 0.690 0.000
Cd3 0.690 0.310 0.000
Cd4 0.815 0.185 0.500
In1 0.418 0.582 0.500
In2 0.582 0.418 0.500

=====

An optimized crystal structure of Pr4CdIn. Source: the Alexandria database, functional PBE.

Output
E (eV for the cell shown): -22.9
Formation enthalpy at 0 K (meV per atom): -17
Space-group type: P4/mmm, No. 123
Energy above the lowest structure with this stoichiometry (eV per atom): 0.2239

Cell lengths 5.280, 5.280, 7.792 Å; angles 90.00, 90.00, 90.00 degrees
Atoms (fractional coordinates):
Pr1 0.000 0.500 0.248
Pr2 0.000 0.500 0.752
Pr3 0.500 0.000 0.248
Pr4 0.500 0.000 0.752
Cd1 0.000 0.000 0.000
In1 0.500 0.500 0.500

=====

An optimized crystal structure of Pr3Cd7In2. Source: the Alexandria database, functional PBE.

Output
E (eV for the cell shown): -29.3
Formation enthalpy at 0 K (meV per atom): -259
Space-group type: R-3m, No. 166

Cell lengths 10.276, 10.276, 10.276 Å; angles 34.47, 34.47, 34.47 degrees
Atoms (fractional coordinates):
Pr1 0.000 0.000 0.000
Pr2 0.142 0.142 0.142
Pr3 0.858 0.858 0.858
Cd1 0.078 0.589 0.589
Cd2 0.411 0.411 0.922
Cd3 0.411 0.922 0.411
Cd4 0.500 0.500 0.500
Cd5 0.589 0.078 0.589
Cd6 0.589 0.589 0.078
Cd7 0.922 0.411 0.411
In1 0.335 0.335 0.335
In2 0.665 0.665 0.665

=====

An optimized crystal structure of Pr6Cd5In. Source: the Alexandria database, functional PBE.

Output
E (eV for the cell shown): -40.2
Formation enthalpy at 0 K (meV per atom): -347
Space-group type: C2/m, No. 12

Cell lengths 9.501, 9.501, 5.478 Å; angles 106.74, 106.74, 119.66 degrees
Atoms (fractional coordinates):
Pr1 0.084 0.416 0.750
Pr2 0.250 0.250 0.250
Pr3 0.416 0.084 0.750
Pr4 0.584 0.916 0.250
Pr5 0.750 0.750 0.750
Pr6 0.916 0.584 0.250
Cd1 0.000 0.000 0.500
Cd2 0.167 0.833 0.000
Cd3 0.332 0.668 0.500
Cd4 0.668 0.332 0.500
Cd5 0.833 0.167 0.000
In1 0.500 0.500 0.000

=====

An optimized crystal structure of Pr3Cd4In. Source: the Alexandria database, functional PBE.

Output
E (eV for the cell shown): -22.2
Formation enthalpy at 0 K (meV per atom): -180
Space-group type: Immm, No. 71

Cell lengths 11.005, 11.005, 11.005 Å; angles 162.06, 146.13, 38.58 degrees
Atoms (fractional coordinates):
Pr1 0.000 0.000 0.000
Pr2 0.259 0.759 0.500
Pr3 0.741 0.241 0.500
Cd1 0.127 0.379 0.749
Cd2 0.370 0.621 0.749
Cd3 0.630 0.379 0.251
Cd4 0.873 0.621 0.251
In1 0.500 0.500 0.000

=====

An optimized crystal structure of Pr3Cd4In2. Source: the Alexandria database, functional PBE.

Output
E (eV for the cell shown): -27.2
Formation enthalpy at 0 K (meV per atom): -419
Space-group type: C2/m, No. 12

Cell lengths 6.233, 6.233, 9.510 Å; angles 114.50, 114.50, 47.64 degrees
Atoms (fractional coordinates):
Pr1 0.000 0.000 0.000
Pr2 0.334 0.334 0.329
Pr3 0.666 0.666 0.671
Cd1 0.075 0.075 0.410
Cd2 0.294 0.294 0.963
Cd3 0.706 0.706 0.037
Cd4 0.925 0.925 0.590
In1 0.390 0.390 0.724
In2 0.610 0.610 0.276

=====

An optimized crystal structure of Pr3Cd2In4. Source: the Alexandria database, functional PBE.

Output
E (eV for the cell shown): -31.2
Formation enthalpy at 0 K (meV per atom): -457
Space-group type: C2/m, No. 12

Cell lengths 6.280, 6.280, 9.457 Å; angles 112.95, 112.95, 46.80 degrees
Atoms (fractional coordinates):
Pr1 0.000 0.000 0.000
Pr2 0.334 0.334 0.334
Pr3 0.666 0.666 0.666
Cd1 0.385 0.385 0.717
Cd2 0.615 0.615 0.283
In1 0.053 0.053 0.384
In2 0.276 0.276 0.938
In3 0.724 0.724 0.062
In4 0.947 0.947 0.616

=====

An optimized crystal structure of PrCd2In. Source: the Alexandria database, functional PBE.

Output
E (eV for the cell shown): -42.5
Formation enthalpy at 0 K (meV per atom): -322
Space-group type: Cmcm, No. 63
Energy above the lowest structure with this stoichiometry (eV per atom): 0.0229

Cell lengths 9.319, 9.319, 10.100 Å; angles 90.00, 90.00, 151.00 degrees
Atoms (fractional coordinates):
Pr1 0.000 0.000 0.000
Pr2 0.000 0.000 0.500
Pr3 0.197 0.803 0.750
Pr4 0.803 0.197 0.250
Cd1 0.194 0.806 0.105
Cd2 0.194 0.806 0.395
Cd3 0.392 0.608 0.750
Cd4 0.456 0.544 0.250
Cd5 0.544 0.456 0.750
Cd6 0.608 0.392 0.250
Cd7 0.806 0.194 0.605
Cd8 0.806 0.194 0.895
In1 0.359 0.641 0.032
In2 0.359 0.641 0.468
In3 0.641 0.359 0.532
In4 0.641 0.359 0.968

=====

An optimized crystal structure of Pr5Cd2In. Source: the Alexandria database, functional PBE.

Output
E (eV for the cell shown): -30.4
Formation enthalpy at 0 K (meV per atom): -237
Space-group type: I4mm, No. 107
Energy above the lowest structure with this stoichiometry (eV per atom): 0.0000

Cell lengths 6.831, 6.831, 6.831 Å; angles 108.09, 108.09, 112.27 degrees
Atoms (fractional coordinates):
Pr1 0.000 0.000 0.000
Pr2 0.001 0.001 0.500
Pr3 0.001 0.500 0.000
Pr4 0.500 0.001 0.000
Pr5 0.500 0.500 0.500
Cd1 0.001 0.501 0.500
Cd2 0.501 0.001 0.500
In1 0.501 0.501 0.000

=====

An optimized crystal structure of PrCd2In2. Source: the Alexandria database, functional PBE.

Output
E (eV for the cell shown): -24.2
Formation enthalpy at 0 K (meV per atom): -3
Space-group type: P6_3/mmc, No. 194
Energy above the lowest structure with this stoichiometry (eV per atom): 0.1515

Cell lengths 5.217, 5.217, 12.714 Å; angles 90.00, 90.00, 120.00 degrees
Atoms (fractional coordinates):
Pr1 0.000 0.000 0.250
Pr2 0.000 0.000 0.750
Cd1 0.333 0.667 0.115
Cd2 0.333 0.667 0.385
Cd3 0.667 0.333 0.615
Cd4 0.667 0.333 0.885
In1 0.000 0.000 0.000
In2 0.000 0.000 0.500
In3 0.333 0.667 0.750
In4 0.667 0.333 0.250

=====

An optimized crystal structure of Pr5Cd2In. Source: the Alexandria database, functional PBE.

Output
E (eV for the cell shown): -60.6
Formation enthalpy at 0 K (meV per atom): -229
Space-group type: I4/mcm, No. 140
Energy above the lowest structure with this stoichiometry (eV per atom): 0.0076

Cell lengths 9.705, 9.705, 9.705 Å; angles 130.74, 130.74, 72.23 degrees
Atoms (fractional coordinates):
Pr1 0.000 0.000 0.000
Pr2 0.007 0.507 0.826
Pr3 0.182 0.007 0.500
Pr4 0.318 0.818 0.826
Pr5 0.493 0.318 0.500
Pr6 0.500 0.500 0.000
Pr7 0.507 0.682 0.500
Pr8 0.682 0.182 0.174
Pr9 0.818 0.993 0.500
Pr10 0.993 0.493 0.174
Cd1 0.127 0.373 0.500
Cd2 0.373 0.873 0.246
Cd3 0.627 0.127 0.754
Cd4 0.873 0.627 0.500
In1 0.250 0.250 0.000
In2 0.750 0.750 0.000